VASP calculation (GGA-PBE) on Al2RuAu after structural relaxation. Values from VASP.

Quantum ESPRESSO input file:
```
&SYSTEM
  ibrav = 0, nat = 4, ntyp = 3
/
ATOMIC_SPECIES
Al 26.98 Al.upf
Ru 101.07 Ru.upf
Au 196.97 Au.upf
CELL_PARAMETERS angstrom
3.337 0.000 0.000
0.000 3.337 0.000
0.000 0.000 5.539
ATOMIC_POSITIONS crystal
Al 0.000 0.000 0.000
Al 0.500 0.500 0.289
Ru 0.500 0.500 0.831
Au 0.000 0.000 0.497
```

Values from the calculation:
- energy relative to the elements (eV/atom) = -0.379